Density functional theory data (PBE-GGA) for crystalline Na2TiNiPb at its relaxed geometry.

a = 5.596 Å, b = 5.596 Å, c = 5.374 Å
α = 90.00°, β = 90.00°, γ = 90.00°
Fractional positions:
Na 0.000 0.500 0.000
Na 0.500 0.000 0.000
Ti 0.000 0.000 0.000
Ni 0.500 0.500 0.500
Pb 0.000 0.000 0.500

***

Density functional theory data (PBE-GGA) for crystalline Pm5Pr4Cd at its relaxed geometry.

## Properties
Relative energy among the computed polymorphs: 59 meV per atom

a = 8.238 Å, b = 8.238 Å, c = 8.238 Å
α = 97.57°, β = 97.57°, γ = 137.43°
Fractional positions:
Pm 0.000 0.000 0.000
Pm 0.115 0.115 0.631
Pm 0.115 0.484 0.000
Pm 0.484 0.115 0.000
Pm 0.484 0.484 0.369
Pr 0.129 0.813 0.316
Pr 0.497 0.813 0.684
Pr 0.813 0.129 0.316
Pr 0.813 0.497 0.684
Cd 0.523 0.523 0.000

***

Density functional theory data (PBE-GGA) for crystalline AcTcAsO at its relaxed geometry.

## Properties
E_form (uncorrected): -7.000 eV/f.u.

a = 4.136 Å, b = 4.136 Å, c = 9.318 Å
α = 90.00°, β = 90.00°, γ = 90.00°
Fractional positions:
Ac 0.250 0.250 0.142
Ac 0.750 0.750 0.858
Tc 0.250 0.750 0.500
Tc 0.750 0.250 0.500
As 0.250 0.250 0.655
As 0.750 0.750 0.345
O 0.250 0.750 0.000
O 0.750 0.250 0.000

***

Density functional theory data (PBE-GGA) for crystalline PaCd2O5 at its relaxed geometry.

## Properties
E_form (uncorrected): -15.592 eV/f.u.

a = 6.056 Å, b = 6.056 Å, c = 11.419 Å
α = 90.00°, β = 90.00°, γ = 138.98°
Fractional positions:
Pa 0.171 0.829 0.750
Pa 0.829 0.171 0.250
Cd 0.142 0.858 0.057
Cd 0.142 0.858 0.443
Cd 0.858 0.142 0.557
Cd 0.858 0.142 0.943
O 0.040 0.960 0.622
O 0.040 0.960 0.878
O 0.288 0.712 0.250
O 0.291 0.709 0.593
O 0.291 0.709 0.907
O 0.709 0.291 0.093
O 0.709 0.291 0.407
O 0.712 0.288 0.750
O 0.960 0.040 0.122
O 0.960 0.040 0.378

***

Density functional theory data (PBE-GGA) for crystalline Pm6Dy8Al at its relaxed geometry.

a = 9.455 Å, b = 9.455 Å, c = 6.279 Å
α = 90.00°, β = 90.00°, γ = 120.00°
Fractional positions:
Pm 0.091 0.638 0.190
Pm 0.362 0.453 0.190
Pm 0.453 0.091 0.810
Pm 0.547 0.909 0.190
Pm 0.638 0.547 0.810
Pm 0.909 0.362 0.810
Dy 0.040 0.783 0.698
Dy 0.217 0.258 0.698
Dy 0.258 0.040 0.302
Dy 0.333 0.667 0.683
Dy 0.667 0.333 0.317
Dy 0.742 0.960 0.698
Dy 0.783 0.742 0.302
Dy 0.960 0.217 0.302
Al 0.000 0.000 0.000

***

Density functional theory data (PBE-GGA) for crystalline Ta2Mn at its relaxed geometry.

a = 11.971 Å, b = 11.971 Å, c = 11.971 Å
α = 166.06°, β = 166.06°, γ = 19.76°
Fractional positions:
Ta 0.306 0.556 0.750
Ta 0.444 0.694 0.750
Ta 0.556 0.306 0.250
Ta 0.694 0.444 0.250
Mn 0.125 0.875 0.250
Mn 0.875 0.125 0.750

***

Density functional theory data (PBE-GGA) for crystalline Sc3TcO at its relaxed geometry.

## Properties
Relative energy among the computed polymorphs: 74 meV per atom
E_form (uncorrected): -6.242 eV/f.u.

a = 3.268 Å, b = 6.354 Å, c = 9.825 Å
α = 71.23°, β = 89.96°, γ = 75.35°
Fractional positions:
Sc 0.047 0.404 0.369
Sc 0.117 0.267 0.968
Sc 0.291 0.929 0.305
Sc 0.709 0.071 0.695
Sc 0.883 0.733 0.032
Sc 0.953 0.596 0.631
Tc 0.421 0.658 0.832
Tc 0.579 0.342 0.168
O 0.109 0.276 0.598
O 0.891 0.724 0.402

***

Density functional theory data (PBE-GGA) for crystalline KLiCoCl4 at its relaxed geometry.

## Properties
E_form (uncorrected): -9.131 eV/f.u.

a = 6.126 Å, b = 8.159 Å, c = 8.352 Å
α = 90.00°, β = 103.13°, γ = 90.00°
Fractional positions:
K 0.203 0.250 0.107
K 0.797 0.750 0.893
Li 0.285 0.250 0.680
Li 0.715 0.750 0.320
Co 0.215 0.750 0.300
Co 0.785 0.250 0.700
Cl 0.034 0.040 0.738
Cl 0.034 0.460 0.738
Cl 0.394 0.750 0.088
Cl 0.500 0.250 0.477
Cl 0.500 0.750 0.523
Cl 0.606 0.250 0.912
Cl 0.966 0.540 0.262
Cl 0.966 0.960 0.262

***

| no. | calculated total energy (eV for the cell shown) |
| --- | --- |
| 1 | -13.4 |
| 2 | -42.8 |
| 3 | -62.2 |
| 4 | -103.4 |
| 5 | -67.9 |
| 6 | -63.9 |
| 7 | -81.1 |
| 8 | -53.3 |